1.
Material: CrFe2As
Method: DFT, PBE
State: relaxed

Crystal system ... trigonal
Raw total energy ... -7.53 eV per atom
Volume ... 12.7 Å³/atom

Lattice parameters (Å, degrees): 7.980 7.980 7.980 19.75 19.75 19.75
Fractional positions:
Cr 0.000 0.000 0.000
Fe 0.252 0.252 0.252
Fe 0.504 0.504 0.504
As 0.753 0.753 0.753

2.
Material: Pa2NiIr
Method: DFT, PBE
State: relaxed

Crystal system ... monoclinic
Raw total energy ... -8.99 eV per atom
Volume ... 20.5 Å³/atom

Lattice parameters (Å, degrees): 5.711 4.134 7.300 90.00 107.81 90.00
Fractional positions:
Pa 0.209 0.250 0.434
Pa 0.223 0.250 0.924
Pa 0.777 0.750 0.076
Pa 0.791 0.750 0.566
Ni 0.341 0.750 0.707
Ni 0.659 0.250 0.293
Ir 0.310 0.750 0.203
Ir 0.690 0.250 0.797

Copy entry 2 word for word.
Material: Pa2NiIr
Method: DFT, PBE
State: relaxed

Crystal system ... monoclinic
Raw total energy ... -8.99 eV per atom
Volume ... 20.5 Å³/atom

Lattice parameters (Å, degrees): 5.711 4.134 7.300 90.00 107.81 90.00
Fractional positions:
Pa 0.209 0.250 0.434
Pa 0.223 0.250 0.924
Pa 0.777 0.750 0.076
Pa 0.791 0.750 0.566
Ni 0.341 0.750 0.707
Ni 0.659 0.250 0.293
Ir 0.310 0.750 0.203
Ir 0.690 0.250 0.797

Repeat the second record exactly.
Material: Pa2NiIr
Method: DFT, PBE
State: relaxed

Crystal system ... monoclinic
Raw total energy ... -8.99 eV per atom
Volume ... 20.5 Å³/atom

Lattice parameters (Å, degrees): 5.711 4.134 7.300 90.00 107.81 90.00
Fractional positions:
Pa 0.209 0.250 0.434
Pa 0.223 0.250 0.924
Pa 0.777 0.750 0.076
Pa 0.791 0.750 0.566
Ni 0.341 0.750 0.707
Ni 0.659 0.250 0.293
Ir 0.310 0.750 0.203
Ir 0.690 0.250 0.797